(1)
DFT (GGA-PBE) results for an optimized crystal structure of LiTaCl.

a b c (Å): 4.0919 4.0919 4.0919
angles (deg): 60.00 60.00 60.00
Last column: nearest neighbours and their distance in Å.
Positions (direct):
Li (0.0000, 0.0000, 0.0000)  4 Cl 2.51
Cl (0.7500, 0.7500, 0.7500)  4 Li 2.51, 4 Ta 2.51
Ta (0.5000, 0.5000, 0.5000)  4 Cl 2.51

Properties
Its uncorrected formation energy is 0.73 eV per atom. Its symmetry is F-43m (216). The value obtained for the total moment is 0.4 Bohr magnetons per cell. Its energy relative to the lowest polymorph listed for this composition is 928 meV/atom.

=====

(2)
DFT (GGA-PBE) results for an optimized crystal structure of Li3TaCl.

a b c (Å): 4.6674 4.6674 4.6674
angles (deg): 90.00 90.00 90.00
Last column: nearest neighbours and their distance in Å.
Positions (direct):
Cl (0.0000, 0.0000, 0.0000)  6 Li 2.33
Li (0.0000, 0.0000, 0.5000)  2 Cl 2.33
Ta (0.5000, 0.5000, 0.5000)  12 Li 3.30
Li (0.0000, 0.5000, 0.0000)  2 Cl 2.33
Li (0.5000, 0.0000, 0.0000)  2 Cl 2.33

Properties
Its uncorrected formation energy is 0.37 eV per atom. Its symmetry is Pm-3m (221). The value obtained for the total moment is 5.0 Bohr magnetons per cell. Its energy relative to the lowest polymorph listed for this composition is 0 meV/atom.

=====

(3)
DFT (GGA-PBE) results for an optimized crystal structure of Li3TaCl.

a b c (Å): 5.3758 5.3758 5.3758
angles (deg): 90.00 90.00 90.00
Last column: nearest neighbours and their distance in Å.
Positions (direct):
Li (0.0000, 0.0000, 0.5000)  2 Ta 2.69
Cl (0.5000, 0.5000, 0.5000)  12 Li 3.80
Li (0.0000, 0.5000, 0.0000)  2 Ta 2.69
Li (0.5000, 0.0000, 0.0000)  2 Ta 2.69
Ta (0.0000, 0.0000, 0.0000)  6 Li 2.69

Properties
Its uncorrected formation energy is 1.06 eV per atom. Its symmetry is Pm-3m (221). The value obtained for the total moment is 5.0 Bohr magnetons per cell. Its energy relative to the lowest polymorph listed for this composition is 689 meV/atom.

=====

(4)
DFT (GGA-PBE) results for an optimized crystal structure of LiTaCl3.

a b c (Å): 4.5638 4.5638 4.5638
angles (deg): 90.00 90.00 90.00
Last column: nearest neighbours and their distance in Å.
Positions (direct):
Cl (0.5000, 0.0000, 0.0000)  2 Li 2.28
Ta (0.5000, 0.5000, 0.5000)  12 Cl 3.23
Cl (0.0000, 0.5000, 0.0000)  2 Li 2.28
Cl (0.0000, 0.0000, 0.5000)  2 Li 2.28
Li (0.0000, 0.0000, 0.0000)  6 Cl 2.28

Properties
Its uncorrected formation energy is -0.10 eV per atom. Its symmetry is Pm-3m (221). The value obtained for the total moment is 3.0 Bohr magnetons per cell. Its energy relative to the lowest polymorph listed for this composition is 477 meV/atom.

=====

(5)
DFT (GGA-PBE) results for an optimized crystal structure of LiTaCl2.

a b c (Å): 4.2874 4.2874 5.6368
angles (deg): 85.51 85.51 42.21
Last column: nearest neighbours and their distance in Å.
Positions (direct):
Li (0.2500, 0.2500, 0.2500)  2 Cl 2.47
Ta (0.7500, 0.7500, 0.7500)  6 Cl 2.58-2.64
Cl (0.0288, 0.0288, 0.9697)  1 Li 2.47, 3 Ta 2.58-2.64
Cl (0.4712, 0.4712, 0.5303)  1 Li 2.47, 3 Ta 2.58-2.64

Properties
Its uncorrected formation energy is -0.39 eV per atom. Its symmetry is C2/m (12). The value obtained for the total moment is 0.0 Bohr magnetons per cell. Its energy relative to the lowest polymorph listed for this composition is 348 meV/atom.

=====

(6)
DFT (GGA-PBE) results for an optimized crystal structure of LiTaCl.

a b c (Å): 6.7805 6.7805 6.7805
angles (deg): 154.82 154.82 35.91
Last column: nearest neighbours and their distance in Å.
Positions (direct):
Cl (0.0249, 0.0249, 0.0000)  4 Ta 2.66, 4 Cl 2.96
Ta (0.6530, 0.6530, 0.0000)  4 Cl 2.66, 4 Ta 2.96
Li (0.3221, 0.3221, 0.0000)  4 Li 2.96, 4 Ta 3.02

Properties
Its uncorrected formation energy is 0.05 eV per atom. Its symmetry is I4mm (107). The value obtained for the total moment is 0.0 Bohr magnetons per cell. Its energy relative to the lowest polymorph listed for this composition is 244 meV/atom.